First-principles (PBE) data for crystalline Pr6Ho8Mg at its relaxed geometry, as listed in Alexandria via LeMat-Bulk.

energy relative to the elements	0.089	eV/atom
ΔE to the lowest computed polymorph	0	meV/atom
space-group type	R-3 (148)

a b c (Å): 9.102 9.102 8.677
angles (deg): 58.37 58.37 60.00
Fractional coordinates of all 15 atoms:
1 Ho 0.110 0.749 0.426
2 Pr 0.545 0.099 0.125
3 Ho 0.251 0.286 0.574
4 Pr 0.768 0.455 0.875
5 Pr 0.455 0.901 0.875
6 Ho 0.749 0.714 0.426
7 Ho 0.423 0.423 0.730
8 Ho 0.577 0.577 0.270
9 Pr 0.232 0.545 0.125
10 Ho 0.286 0.890 0.574
11 Mg 0.000 0.000 0.000
12 Pr 0.901 0.768 0.875
13 Pr 0.099 0.232 0.125
14 Ho 0.714 0.110 0.426
15 Ho 0.890 0.251 0.574